Here is crystalline Mg2ZnCu at its relaxed geometry from the Alexandria database. Energies are from PBE-GGA.

Summary:
The density of states at the Fermi level is 0.92 states/eV/f.u. For the total energy, the calculation gives -17.91 eV for the cell shown. Its crystal system is orthorhombic. The value obtained for the mass density is 4.30 g/cm³. As for the space group: Cmcm (63). For the formation energy, the calculation gives -0.098 eV per atom.

abc: 5.265 5.265 5.046
angles: 90.00 90.00 78.89
Sites, in units of the cell vectors:
Zn1 0.322 0.678 0.250
Zn2 0.678 0.322 0.750
Cu1 0.000 0.000 0.500
Cu2 0.000 0.000 0.000
Mg1 0.470 0.154 0.250
Mg2 0.154 0.470 0.750
Mg3 0.530 0.846 0.750
Mg4 0.846 0.530 0.250

=====

Here is crystalline LaHI3 at its relaxed geometry from the Alexandria database. Energies are from PBE-GGA.

Summary:
The density of states at the Fermi level is 0.00 states/eV/f.u. For the total energy, the calculation gives -16.42 eV for the cell shown. Its crystal system is cubic. The value obtained for the mass density is 3.45 g/cm³. As for the space group: Pm-3m (221).

abc: 6.307 6.307 6.307
angles: 90.00 90.00 90.00
Sites, in units of the cell vectors:
H1 0.500 0.500 0.500
I1 0.000 0.000 0.500
I2 0.000 0.500 0.000
I3 0.500 0.000 0.000
La1 0.000 0.000 0.000

=====

Here is crystalline MoOsW2 at its relaxed geometry from the Alexandria database. Energies are from PBE-GGA.

Summary:
The density of states at the Fermi level is 2.86 states/eV/f.u. For the total energy, the calculation gives -47.32 eV for the cell shown. Its crystal system is tetragonal. The value obtained for the mass density is 17.25 g/cm³. As for the space group: P4mm (99). For the formation energy, the calculation gives 0.163 eV per atom.

abc: 3.145 3.145 6.363
angles: 90.00 90.00 90.00
Sites, in units of the cell vectors:
Mo1 0.000 0.000 0.489
Os1 0.500 0.500 0.757
W1 0.500 0.500 0.252
W2 0.000 0.000 0.001

=====

Here is crystalline CaRePCl2 at its relaxed geometry from the Alexandria database. Energies are from PBE-GGA.

Summary:
The density of states at the Fermi level is 2.34 states/eV/f.u. Its formation energy without anion corrections is 0.523 eV/atom. For the total energy, the calculation gives -20.94 eV for the cell shown. Its crystal system is tetragonal. The value obtained for the mass density is 3.64 g/cm³. As for the space group: P4/mmm (123).

abc: 5.007 5.007 5.977
angles: 90.00 90.00 90.00
Sites, in units of the cell vectors:
Cl1 0.500 0.000 0.000
Cl2 0.000 0.500 0.000
Ca1 0.000 0.000 0.000
P1 0.000 0.000 0.500
Re1 0.500 0.500 0.500

=====

Here is crystalline Sc3TlTc at its relaxed geometry from the Alexandria database. Energies are from PBE-GGA.

Summary:
The density of states at the Fermi level is 4.71 states/eV/f.u. For the total energy, the calculation gives -31.31 eV for the cell shown. Its crystal system is cubic. The value obtained for the mass density is 5.70 g/cm³. As for the space group: Pm-3m (221). For the formation energy, the calculation gives 0.083 eV per atom.

abc: 5.033 5.033 5.033
angles: 90.00 90.00 90.00
Sites, in units of the cell vectors:
Sc1 0.000 0.500 0.000
Sc2 0.500 0.000 0.000
Sc3 0.000 0.000 0.500
Tc1 0.000 0.000 0.000
Tl1 0.500 0.500 0.500

=====

Here is crystalline AlZnPt2 at its relaxed geometry from the Alexandria database. Energies are from PBE-GGA.

Summary:
The density of states at the Fermi level is 1.73 states/eV/f.u. For the total energy, the calculation gives -19.64 eV for the cell shown. Its crystal system is trigonal. The value obtained for the mass density is 13.19 g/cm³. As for the space group: R-3m (166). For the formation energy, the calculation gives -0.635 eV per atom.

abc: 8.343 8.343 8.343
angles: 20.23 20.23 20.23
Sites, in units of the cell vectors:
Zn1 0.250 0.250 0.250
Pt1 0.004 0.004 0.004
Pt2 0.496 0.496 0.496
Al1 0.750 0.750 0.750

=====

Here is crystalline Pr3AgHg2 at its relaxed geometry from the Alexandria database. Energies are from PBE-GGA.

Summary:
The density of states at the Fermi level is 6.17 states/eV/f.u. For the total energy, the calculation gives -20.18 eV for the cell shown. Its crystal system is orthorhombic. The value obtained for the mass density is 9.13 g/cm³. As for the space group: Cmmm (65). For the formation energy, the calculation gives -0.398 eV per atom.

abc: 3.854 5.422 8.546
angles: 108.50 90.00 90.00
Sites, in units of the cell vectors:
Hg1 0.000 0.668 0.336
Hg2 0.000 0.332 0.664
Pr1 0.500 0.836 0.672
Pr2 0.500 0.500 0.000
Pr3 0.500 0.164 0.328
Ag1 0.000 0.000 0.000

=====

Here is crystalline NpAl3Ga3 at its relaxed geometry from the Alexandria database. Energies are from PBE-GGA.

Summary:
The density of states at the Fermi level is 6.77 states/eV/f.u. For the total energy, the calculation gives -60.19 eV for the cell shown. Its crystal system is cubic. The value obtained for the mass density is 5.18 g/cm³. As for the space group: Pm-3n (223). For the formation energy, the calculation gives 0.450 eV per atom.

abc: 6.966 6.966 6.966
angles: 90.00 90.00 90.00
Sites, in units of the cell vectors:
Ga1 0.000 0.750 0.500
Ga2 0.500 0.000 0.250
Ga3 0.750 0.500 0.000
Ga4 0.500 0.000 0.750
Ga5 0.250 0.500 0.000
Ga6 0.000 0.250 0.500
Al1 0.250 0.000 0.500
Al2 0.500 0.750 0.000
Al3 0.000 0.500 0.750
Al4 0.000 0.500 0.250
Al5 0.500 0.250 0.000
Al6 0.750 0.000 0.500
Np1 0.000 0.000 0.000
Np2 0.500 0.500 0.500